1.
CaMg2SnH | the Alexandria database | PBE-GGA | relaxed; ρ = 3.5 g cm⁻³; E = -14.088 eV/cell; calculated volume = 97.9 Å³ per cell; space group = P4/mmm, No. 123; crystal system = tetragonal
1.0
4.615 0.000 0.000
0.000 4.615 0.000
0.000 0.000 4.599
Sn Mg Ca H
1 2 1 1
Cartesian
2.307 2.307 2.300
0.000 2.307 0.000
2.307 0.000 0.000
0.000 0.000 2.300
0.000 0.000 0.000

---

2.
SrCa2MgH | the Alexandria database | PBE-GGA | relaxed; ρ = 2.2 g cm⁻³; E = -11.364 eV/cell; calculated volume = 146.2 Å³ per cell; space group = P4/mmm, No. 123; crystal system = tetragonal
1.0
-2.241 4.711 -0.360
-4.511 -2.015 1.713
1.436 1.069 5.040
Ca H Sr Mg
2 1 1 1
Cartesian
-1.120 2.355 -0.180
-2.255 -1.007 0.856
0.000 0.000 0.000
0.718 0.534 2.520
-2.658 1.882 3.196

---

3.
SrCa2MgH | the Alexandria database | PBE-GGA | relaxed; ρ = 2.1 g cm⁻³; E = -10.759 eV/cell; calculated volume = 150.2 Å³ per cell; space group = P4/mmm, No. 123; crystal system = tetragonal
1.0
-4.636 0.367 -2.293
2.271 -0.356 -4.648
-0.524 -5.559 0.170
H Mg Sr Ca
1 1 1 2
Cartesian
0.000 0.000 0.000
-0.262 -2.780 0.085
-1.445 -2.774 -3.385
1.135 -0.178 -2.324
-2.318 0.183 -1.146

---

4.
Sr2CaMgH | the Alexandria database | PBE-GGA | relaxed; ρ = 2.5 g cm⁻³; E = -10.651 eV/cell; calculated volume = 157.9 Å³ per cell; space group = P4/mmm, No. 123; crystal system = tetragonal
1.0
5.493 0.000 0.000
0.000 5.493 0.000
0.000 0.000 5.234
H Sr Mg Ca
1 2 1 1
Cartesian
0.000 0.000 0.000
2.747 0.000 0.000
0.000 2.747 0.000
0.000 0.000 2.617
2.747 2.747 2.617